Material: NaGa6Sn
Method: DFT, GGA-PBE
State: relaxed

a = 5.550 Å, b = 5.550 Å, c = 5.550 Å
α = 90.00°, β = 90.00°, γ = 90.00°
Positions (direct):
Ga 0.000 0.500 0.745
Ga 0.500 0.255 0.000
Ga 0.745 0.000 0.500
Ga 0.500 0.745 0.000
Ga 0.255 0.000 0.500
Ga 0.000 0.500 0.255
Na 0.500 0.500 0.500
Sn 0.000 0.000 0.000

## Properties
The total moment is 0.0 μB/f.u. The calculated formation energy comes out at 68 meV/atom. The value obtained for the calculated volume is 21.37 Å³/atom.